# 1
# PrBiPd2 PBE optimized geometry
# * E above lowest polymorph: 0.000 eV/atom
# * theoretical density: 10.4 g/cm³
# * DOS(E_F): 1.8 states/eV/cell
# * total moment: 0.00 μB per formula unit
# * E_form: -0.706 eV per atom
# * symmetry: Pmmn (59)
data_PrBiPd2
_cell_length_a 4.9287
_cell_length_b 6.9745
_cell_length_c 5.2482
_cell_angle_alpha 90.00
_cell_angle_beta 90.00
_cell_angle_gamma 90.00
_symmetry_space_group_name_H-M 'P 1'
_symmetry_Int_Tables_number 1
loop_
_symmetry_equiv_pos_as_xyz
'x,y,z'
loop_
_atom_site_label
_atom_site_fract_x
_atom_site_fract_y
_atom_site_fract_z
Pr1 0.2500 0.2500 0.1982
Pr2 0.7500 0.7500 0.8018
Bi1 0.2500 0.7500 0.2411
Bi2 0.7500 0.2500 0.7589
Pd1 0.2500 0.0169 0.6678
Pd2 0.2500 0.4831 0.6678
Pd3 0.7500 0.5169 0.3322
Pd4 0.7500 0.9831 0.3322

***

# 2
# La2SnAsN PBE optimized geometry
# * theoretical density: 5.5 g/cm³
# * electronic total energy: -5.16 eV per atom
# * DOS(E_F): 4.2 states/eV/cell
# * total moment: 0.00 μB per formula unit
# * symmetry: P4/mmm (123)
data_La2SnAsN
_cell_length_a 5.9681
_cell_length_b 5.9681
_cell_length_c 4.1021
_cell_angle_alpha 90.00
_cell_angle_beta 90.00
_cell_angle_gamma 90.00
_symmetry_space_group_name_H-M 'P 1'
_symmetry_Int_Tables_number 1
loop_
_symmetry_equiv_pos_as_xyz
'x,y,z'
loop_
_atom_site_label
_atom_site_fract_x
_atom_site_fract_y
_atom_site_fract_z
La1 0.0000 0.5000 0.0000
La2 0.5000 0.0000 0.0000
Sn1 0.0000 0.0000 0.0000
As1 0.5000 0.5000 0.5000
N1 0.0000 0.0000 0.5000

***

# 3
# Ir3Pt5 PBE optimized geometry
# * E above lowest polymorph: 0.000 eV/atom
# * theoretical density: 20.4 g/cm³
# * DOS(E_F): 21.2 states/eV/cell
# * total moment: 0.00 μB per formula unit
# * E_form: 0.262 eV per atom
# * symmetry: C2/m (12)
data_Ir3Pt5
_cell_length_a 7.5509
_cell_length_b 7.5509
_cell_length_c 7.4285
_cell_angle_alpha 96.62
_cell_angle_beta 96.62
_cell_angle_gamma 140.52
_symmetry_space_group_name_H-M 'P 1'
_symmetry_Int_Tables_number 1
loop_
_symmetry_equiv_pos_as_xyz
'x,y,z'
loop_
_atom_site_label
_atom_site_fract_x
_atom_site_fract_y
_atom_site_fract_z
Ir1 0.1650 0.8350 0.0000
Ir2 0.2202 0.2202 0.6639
Ir3 0.2365 0.7635 0.5000
Ir4 0.7635 0.2365 0.5000
Ir5 0.7798 0.7798 0.3361
Ir6 0.8350 0.1650 0.0000
Pt1 0.1350 0.3344 0.3590
Pt2 0.2259 0.5711 0.8091
Pt3 0.2708 0.2708 0.0414
Pt4 0.3344 0.1350 0.3590
Pt5 0.4289 0.7741 0.1909
Pt6 0.5711 0.2259 0.8091
Pt7 0.6656 0.8650 0.6410
Pt8 0.7292 0.7292 0.9586
Pt9 0.7741 0.4289 0.1909
Pt10 0.8650 0.6656 0.6410

***

# 4
# BaOs2Se PBE optimized geometry
# * theoretical density: 9.6 g/cm³
# * electronic total energy: -6.46 eV per atom
# * DOS(E_F): 5.5 states/eV/cell
# * total moment: 0.41 μB per formula unit
# * symmetry: Imm2 (44)
data_BaOs2Se
_cell_length_a 5.7743
_cell_length_b 5.7743
_cell_length_c 5.7743
_cell_angle_alpha 141.96
_cell_angle_beta 116.55
_cell_angle_gamma 76.44
_symmetry_space_group_name_H-M 'P 1'
_symmetry_Int_Tables_number 1
loop_
_symmetry_equiv_pos_as_xyz
'x,y,z'
loop_
_atom_site_label
_atom_site_fract_x
_atom_site_fract_y
_atom_site_fract_z
Ba1 0.0000 0.0000 0.0000
Os1 0.4935 0.4935 0.0000
Os2 0.6512 0.1512 0.5000
Se1 0.2997 0.7996 0.5000

***

# 5
# Ce8Te4Pb3 PBE optimized geometry
# * theoretical density: 7.3 g/cm³
# * electronic total energy: -5.53 eV per atom
# * DOS(E_F): 57.2 states/eV/cell
# * total moment: 4.22 μB per formula unit
# * symmetry: C2/m (12)
data_Ce8Te4Pb3
_cell_length_a 8.9889
_cell_length_b 8.9889
_cell_length_c 8.9562
_cell_angle_alpha 119.80
_cell_angle_beta 119.80
_cell_angle_gamma 90.09
_symmetry_space_group_name_H-M 'P 1'
_symmetry_Int_Tables_number 1
loop_
_symmetry_equiv_pos_as_xyz
'x,y,z'
loop_
_atom_site_label
_atom_site_fract_x
_atom_site_fract_y
_atom_site_fract_z
Ce1 0.2458 0.2458 0.0005
Ce2 0.2466 0.7534 0.0000
Ce3 0.2485 0.2485 0.4969
Ce4 0.2508 0.7492 0.5000
Ce5 0.7492 0.2508 0.5000
Ce6 0.7515 0.7515 0.5031
Ce7 0.7534 0.2466 0.0000
Ce8 0.7542 0.7542 0.9995
Te1 0.0000 0.5000 0.5000
Te2 0.5000 0.0000 0.5000
Te3 0.5000 0.5000 0.0000
Te4 0.5000 0.5000 0.5000
Pb1 0.0000 0.0000 0.5000
Pb2 0.0000 0.5000 0.0000
Pb3 0.5000 0.0000 0.0000

***

# 6
# Al5Rh PBE optimized geometry
# * theoretical density: 3.9 g/cm³
# * DOS(E_F): 4.1 states/eV/cell
# * total moment: 0.00 μB per formula unit
# * E_form: 0.193 eV per atom
# * symmetry: P6/mmm (191)
data_Al5Rh
_cell_length_a 5.0076
_cell_length_b 5.0076
_cell_length_c 4.6797
_cell_angle_alpha 90.00
_cell_angle_beta 90.00
_cell_angle_gamma 120.00
_symmetry_space_group_name_H-M 'P 1'
_symmetry_Int_Tables_number 1
loop_
_symmetry_equiv_pos_as_xyz
'x,y,z'
loop_
_atom_site_label
_atom_site_fract_x
_atom_site_fract_y
_atom_site_fract_z
Al1 0.0000 0.5000 0.0000
Al2 0.3333 0.6667 0.5000
Al3 0.5000 0.0000 0.0000
Al4 0.5000 0.5000 0.0000
Al5 0.6667 0.3333 0.5000
Rh1 0.0000 0.0000 0.5000

***

# 7
# CsIn2Cu PBE optimized geometry
# * E above lowest polymorph: 0.491 eV/atom
# * theoretical density: 5.7 g/cm³
# * DOS(E_F): 5.6 states/eV/cell
# * total moment: 0.00 μB per formula unit
# * E_form: 0.501 eV per atom
# * symmetry: Fm-3m (225)
data_CsIn2Cu
_cell_length_a 5.5883
_cell_length_b 5.5883
_cell_length_c 5.5883
_cell_angle_alpha 60.00
_cell_angle_beta 60.00
_cell_angle_gamma 60.00
_symmetry_space_group_name_H-M 'P 1'
_symmetry_Int_Tables_number 1
loop_
_symmetry_equiv_pos_as_xyz
'x,y,z'
loop_
_atom_site_label
_atom_site_fract_x
_atom_site_fract_y
_atom_site_fract_z
Cs1 0.0000 0.0000 0.0000
In1 0.2500 0.2500 0.2500
In2 0.7500 0.7500 0.7500
Cu1 0.5000 0.5000 0.5000

***

# 8
# Ac4La2Pb3O2 PBE optimized geometry
# * theoretical density: 8.5 g/cm³
# * electronic total energy: -5.60 eV per atom
# * DOS(E_F): 6.6 states/eV/cell
# * total moment: 0.00 μB per formula unit
# * symmetry: I4/mmm (139)
data_Ac4La2Pb3O2
_cell_length_a 14.0327
_cell_length_b 14.0327
_cell_length_c 14.0327
_cell_angle_alpha 158.87
_cell_angle_beta 158.87
_cell_angle_gamma 30.05
_symmetry_space_group_name_H-M 'P 1'
_symmetry_Int_Tables_number 1
loop_
_symmetry_equiv_pos_as_xyz
'x,y,z'
loop_
_atom_site_label
_atom_site_fract_x
_atom_site_fract_y
_atom_site_fract_z
Ac1 0.0843 0.5843 0.5000
Ac2 0.4157 0.9157 0.5000
Ac3 0.5843 0.0843 0.5000
Ac4 0.9157 0.4157 0.5000
La1 0.1959 0.1959 0.0000
La2 0.8041 0.8041 0.0000
Pb1 0.3203 0.3203 0.0000
Pb2 0.5000 0.5000 0.0000
Pb3 0.6797 0.6797 0.0000
O1 0.1070 0.1070 0.0000
O2 0.8930 0.8930 0.0000